1.
A plane-wave DFT calculation with PBE-GGA was carried out for a relaxed structure of TaWAu.

a = 3.4011 Å, b = 4.4200 Å, c = 13.7333 Å
α = 90.00°, β = 90.00°, γ = 90.00°
Fractional positions:
Ta 0.0000 0.0000 0.0000
Ta 0.0000 0.5000 0.5000
Ta 0.5000 0.0000 0.5000
Ta 0.5000 0.5000 0.0000
W 0.0000 0.0000 0.6630
W 0.0000 0.5000 0.1630
W 0.5000 0.0000 0.1630
W 0.5000 0.5000 0.6630
Au 0.0000 0.0000 0.3308
Au 0.0000 0.5000 0.8308
Au 0.5000 0.0000 0.8308
Au 0.5000 0.5000 0.3308

2.
A plane-wave DFT calculation with PBE-GGA was carried out for a relaxed structure of TaWAu.

a = 3.3195 Å, b = 3.3195 Å, c = 9.3826 Å
α = 90.00°, β = 90.00°, γ = 90.00°
Fractional positions:
Ta 0.2500 0.2500 0.2490
Ta 0.7500 0.7500 0.7510
W 0.2500 0.2500 0.9185
W 0.7500 0.7500 0.0815
Au 0.2500 0.2500 0.5865
Au 0.7500 0.7500 0.4135

3.
A plane-wave DFT calculation with PBE-GGA was carried out for a relaxed structure of TaWAu.

a = 2.7949 Å, b = 2.7949 Å, c = 13.2104 Å
α = 90.00°, β = 90.00°, γ = 90.00°
Fractional positions:
Ta 0.0000 0.0000 0.0000
Ta 0.5000 0.5000 0.5000
W 0.0000 0.0000 0.3311
W 0.5000 0.5000 0.8311
Au 0.0000 0.0000 0.6669
Au 0.5000 0.5000 0.1669

4.
A plane-wave DFT calculation with PBE-GGA was carried out for a relaxed structure of TaWAu.

a = 2.8522 Å, b = 2.8522 Å, c = 7.4048 Å
α = 90.00°, β = 90.00°, γ = 120.00°
Fractional positions:
Ta 0.0000 0.0000 0.0000
W 0.6667 0.3333 0.3393
Au 0.3333 0.6667 0.6670

Most stable: 2 (next structure +0.121 eV/atom)

1.
A plane-wave DFT calculation with PBE-GGA was carried out for a relaxed structure of Ta3WAu.

a = 4.8554 Å, b = 4.8554 Å, c = 4.8554 Å
α = 90.00°, β = 90.00°, γ = 90.00°
Fractional positions:
Ta 0.0000 0.0000 0.5000
Ta 0.0000 0.5000 0.0000
Ta 0.5000 0.0000 0.0000
W 0.5000 0.5000 0.5000
Au 0.0000 0.0000 0.0000

2.
A plane-wave DFT calculation with PBE-GGA was carried out for a relaxed structure of Ta3WAu.

a = 4.8495 Å, b = 4.8495 Å, c = 4.8495 Å
α = 90.00°, β = 90.00°, γ = 90.00°
Fractional positions:
Ta 0.0000 0.0000 0.5000
Ta 0.0000 0.5000 0.0000
Ta 0.5000 0.0000 0.0000
W 0.0000 0.0000 0.0000
Au 0.5000 0.5000 0.5000

Most stable: 2 (next structure +0.616 eV/atom)

1.
A plane-wave DFT calculation with PBE-GGA was carried out for a relaxed structure of YTaAu3.

a = 5.1250 Å, b = 5.1250 Å, c = 5.1250 Å
α = 90.00°, β = 90.00°, γ = 90.00°
Fractional positions:
Y 0.0000 0.0000 0.0000
Ta 0.5000 0.5000 0.5000
Au 0.0000 0.0000 0.5000
Au 0.0000 0.5000 0.0000
Au 0.5000 0.0000 0.0000

2.
A plane-wave DFT calculation with PBE-GGA was carried out for a relaxed structure of YTaAu3.

a = 5.0759 Å, b = 5.0759 Å, c = 5.0759 Å
α = 90.00°, β = 90.00°, γ = 90.00°
Fractional positions:
Y 0.0000 0.0000 0.0000
Ta 0.5000 0.5000 0.5000
Au 0.0000 0.5000 0.5000
Au 0.5000 0.0000 0.5000
Au 0.5000 0.5000 0.0000

Most stable: 2 (next structure +0.977 eV/atom)

1.
A plane-wave DFT calculation with PBE-GGA was carried out for a relaxed structure of YTaAu.

a = 6.6602 Å, b = 6.6602 Å, c = 6.6602 Å
α = 90.00°, β = 90.00°, γ = 90.00°
Fractional positions:
Y 0.0000 0.0000 0.0000
Y 0.0000 0.5000 0.5000
Y 0.5000 0.0000 0.5000
Y 0.5000 0.5000 0.0000
Ta 0.0000 0.0000 0.5000
Ta 0.0000 0.5000 0.0000
Ta 0.5000 0.0000 0.0000
Ta 0.5000 0.5000 0.5000
Au 0.2500 0.2500 0.7500
Au 0.2500 0.7500 0.2500
Au 0.7500 0.2500 0.2500
Au 0.7500 0.7500 0.7500

2.
A plane-wave DFT calculation with PBE-GGA was carried out for a relaxed structure of YTaAu.

a = 3.2688 Å, b = 3.2688 Å, c = 12.1715 Å
α = 90.00°, β = 90.00°, γ = 90.00°
Fractional positions:
Y 0.0000 0.0000 0.0000
Y 0.5000 0.5000 0.5000
Ta 0.0000 0.0000 0.3182
Ta 0.5000 0.5000 0.8182
Au 0.0000 0.0000 0.6849
Au 0.5000 0.5000 0.1850

3.
A plane-wave DFT calculation with PBE-GGA was carried out for a relaxed structure of YTaAu.

a = 3.2757 Å, b = 3.2757 Å, c = 7.0987 Å
α = 90.00°, β = 90.00°, γ = 120.00°
Fractional positions:
Y 0.0000 0.0000 0.0000
Ta 0.3333 0.6667 0.6508
Au 0.6667 0.3333 0.3528

4.
A plane-wave DFT calculation with PBE-GGA was carried out for a relaxed structure of YTaAu.

a = 4.7673 Å, b = 4.7673 Å, c = 3.3868 Å
α = 90.00°, β = 90.00°, γ = 120.00°
Fractional positions:
Y 0.0000 0.0000 0.0000
Ta 0.3333 0.6667 0.5000
Au 0.6667 0.3333 0.5000

Most stable: 2 (next structure +0.194 eV/atom)

1.
A plane-wave DFT calculation with PBE-GGA was carried out for a relaxed structure of YTa3Au.

a = 4.8938 Å, b = 4.8938 Å, c = 4.8938 Å
α = 90.00°, β = 90.00°, γ = 90.00°
Fractional positions:
Y 0.0000 0.0000 0.0000
Ta 0.0000 0.0000 0.5000
Ta 0.0000 0.5000 0.0000
Ta 0.5000 0.0000 0.0000
Au 0.5000 0.5000 0.5000

2.
A plane-wave DFT calculation with PBE-GGA was carried out for a relaxed structure of YTa3Au.

a = 5.0214 Å, b = 5.0214 Å, c = 5.0214 Å
α = 90.00°, β = 90.00°, γ = 90.00°
Fractional positions:
Y 0.0000 0.0000 0.0000
Ta 0.0000 0.5000 0.5000
Ta 0.5000 0.0000 0.5000
Ta 0.5000 0.5000 0.0000
Au 0.5000 0.5000 0.5000

Most stable: 2 (next structure +1.012 eV/atom)

1.
A plane-wave DFT calculation with PBE-GGA was carried out for a relaxed structure of TaZn2Au.

a = 9.0330 Å, b = 2.8942 Å, c = 5.1391 Å
α = 90.00°, β = 99.45°, γ = 90.00°
Fractional positions:
Ta 0.0000 0.0000 0.0000
Ta 0.5000 0.5000 0.0000
Zn 0.0038 0.5000 0.5147
Zn 0.2484 0.0000 0.7279
Zn 0.5038 0.0000 0.5147
Zn 0.7484 0.5000 0.7279
Au 0.2520 0.5000 0.2477
Au 0.7520 0.0000 0.2477

2.
A plane-wave DFT calculation with PBE-GGA was carried out for a relaxed structure of TaZn2Au.

a = 2.9161 Å, b = 2.9161 Å, c = 27.2169 Å
α = 90.00°, β = 90.00°, γ = 120.00°
Fractional positions:
Ta 0.0000 0.0000 0.0000
Ta 0.3333 0.6667 0.6667
Ta 0.6667 0.3333 0.3333
Zn 0.0000 0.0000 0.5816
Zn 0.0000 0.0000 0.7510
Zn 0.3333 0.6667 0.2483
Zn 0.3333 0.6667 0.4176
Zn 0.6667 0.3333 0.0843
Zn 0.6667 0.3333 0.9149
Au 0.0000 0.0000 0.1663
Au 0.3333 0.6667 0.8330
Au 0.6667 0.3333 0.4996

Most stable: 2 (next structure +0.046 eV/atom)

1.
A plane-wave DFT calculation with PBE-GGA was carried out for a relaxed structure of TaZn2Au.

a = 2.8968 Å, b = 2.8968 Å, c = 27.6707 Å
α = 90.00°, β = 90.00°, γ = 120.00°
Fractional positions:
Ta 0.0000 0.0000 0.0000
Ta 0.3333 0.6667 0.6667
Ta 0.6667 0.3333 0.3333
Zn 0.0000 0.0000 0.2497
Zn 0.0000 0.0000 0.5024
Zn 0.3333 0.6667 0.1691
Zn 0.3333 0.6667 0.9164
Zn 0.6667 0.3333 0.5830
Zn 0.6667 0.3333 0.8358
Au 0.0000 0.0000 0.7538
Au 0.3333 0.6667 0.4204
Au 0.6667 0.3333 0.0871

2.
A plane-wave DFT calculation with PBE-GGA was carried out for a relaxed structure of TaZn2Au.

a = 2.8205 Å, b = 4.2008 Å, c = 5.6527 Å
α = 90.00°, β = 104.28°, γ = 90.00°
Fractional positions:
Ta 0.0000 0.0000 0.0000
Zn 0.6120 0.5000 0.2247
Zn 0.7377 0.0000 0.4806
Au 0.3571 0.5000 0.7151

Most stable: 2 (next structure +0.066 eV/atom)

1.
A plane-wave DFT calculation with PBE-GGA was carried out for a relaxed structure of TaZn2Au.

a = 2.8968 Å, b = 2.8968 Å, c = 7.7235 Å
α = 90.00°, β = 90.00°, γ = 90.00°
Fractional positions:
Ta 0.0000 0.0000 0.0000
Zn 0.5000 0.5000 0.2546
Zn 0.5000 0.5000 0.7454
Au 0.0000 0.0000 0.5000

2.
A plane-wave DFT calculation with PBE-GGA was carried out for a relaxed structure of TaZn2Au.

a = 2.9353 Å, b = 2.9353 Å, c = 7.4878 Å
α = 90.00°, β = 90.00°, γ = 90.00°
Fractional positions:
Ta 0.0000 0.0000 0.0000
Zn 0.0000 0.0000 0.4758
Zn 0.5000 0.5000 0.2490
Au 0.5000 0.5000 0.7250

Most stable: 1 (next structure +0.010 eV/atom)

1.
A plane-wave DFT calculation with PBE-GGA was carried out for a relaxed structure of TaZn2Au.

a = 6.3555 Å, b = 6.3555 Å, c = 6.3555 Å
α = 90.00°, β = 90.00°, γ = 90.00°
Fractional positions:
Ta 0.0000 0.0000 0.0000
Ta 0.0000 0.5000 0.5000
Ta 0.5000 0.0000 0.5000
Ta 0.5000 0.5000 0.0000
Zn 0.2500 0.2500 0.2500
Zn 0.2500 0.2500 0.7500
Zn 0.2500 0.7500 0.2500
Zn 0.2500 0.7500 0.7500
Zn 0.7500 0.2500 0.2500
Zn 0.7500 0.2500 0.7500
Zn 0.7500 0.7500 0.2500
Zn 0.7500 0.7500 0.7500
Au 0.0000 0.0000 0.5000
Au 0.0000 0.5000 0.0000
Au 0.5000 0.0000 0.0000
Au 0.5000 0.5000 0.5000

2.
A plane-wave DFT calculation with PBE-GGA was carried out for a relaxed structure of TaZn2Au.

a = 4.0165 Å, b = 4.0165 Å, c = 8.0799 Å
α = 90.00°, β = 90.00°, γ = 90.00°
Fractional positions:
Ta 0.0000 0.0000 0.0000
Ta 0.5000 0.5000 0.5000
Zn 0.0000 0.0000 0.5000
Zn 0.0000 0.5000 0.7500
Zn 0.5000 0.0000 0.2500
Zn 0.5000 0.5000 0.0000
Au 0.0000 0.5000 0.2500
Au 0.5000 0.0000 0.7500

Most stable: 2 (next structure +0.074 eV/atom)

1.
A plane-wave DFT calculation with PBE-GGA was carried out for a relaxed structure of ZrTa2Au.

a = 3.1093 Å, b = 3.1093 Å, c = 28.2192 Å
α = 90.00°, β = 90.00°, γ = 120.00°
Fractional positions:
Zr 0.0000 0.0000 0.0000
Zr 0.3333 0.6667 0.6667
Zr 0.6667 0.3333 0.3333
Ta 0.0000 0.0000 0.2468
Ta 0.0000 0.0000 0.4990
Ta 0.3333 0.6667 0.1657
Ta 0.3333 0.6667 0.9135
Ta 0.6667 0.3333 0.5802
Ta 0.6667 0.3333 0.8324
Au 0.0000 0.0000 0.7527
Au 0.3333 0.6667 0.4194
Au 0.6667 0.3333 0.0860

2.
A plane-wave DFT calculation with PBE-GGA was carried out for a relaxed structure of ZrTa2Au.

a = 3.1248 Å, b = 3.8281 Å, c = 6.3729 Å
α = 90.00°, β = 90.00°, γ = 90.00°
Fractional positions:
Zr 0.0000 0.0000 0.0000
Ta 0.5000 0.5000 0.2586
Ta 0.5000 0.5000 0.7414
Au 0.0000 0.0000 0.5000

3.
A plane-wave DFT calculation with PBE-GGA was carried out for a relaxed structure of ZrTa2Au.

a = 4.0967 Å, b = 4.0967 Å, c = 9.1154 Å
α = 90.00°, β = 90.00°, γ = 90.00°
Fractional positions:
Zr 0.0000 0.0000 0.0000
Zr 0.5000 0.5000 0.5000
Ta 0.0000 0.5000 0.2500
Ta 0.0000 0.5000 0.7500
Ta 0.5000 0.0000 0.2500
Ta 0.5000 0.0000 0.7500
Au 0.0000 0.0000 0.5000
Au 0.5000 0.5000 0.0000

4.
A plane-wave DFT calculation with PBE-GGA was carried out for a relaxed structure of ZrTa2Au.

a = 3.0880 Å, b = 3.0880 Å, c = 28.5071 Å
α = 90.00°, β = 90.00°, γ = 120.00°
Fractional positions:
Zr 0.0000 0.0000 0.0000
Zr 0.3333 0.6667 0.6667
Zr 0.6667 0.3333 0.3333
Ta 0.0000 0.0000 0.2471
Ta 0.0000 0.0000 0.7529
Ta 0.3333 0.6667 0.4196
Ta 0.3333 0.6667 0.9138
Ta 0.6667 0.3333 0.0862
Ta 0.6667 0.3333 0.5804
Au 0.0000 0.0000 0.5000
Au 0.3333 0.6667 0.1667
Au 0.6667 0.3333 0.8333

Most stable: 3 (next structure +0.104 eV/atom)

1.
A plane-wave DFT calculation with PBE-GGA was carried out for a relaxed structure of ZrTa2Au.

a = 10.3674 Å, b = 3.1101 Å, c = 4.9925 Å
α = 90.00°, β = 106.98°, γ = 90.00°
Fractional positions:
Zr 0.0000 0.0000 0.0000
Zr 0.5000 0.5000 0.0000
Ta 0.2415 0.0000 0.7363
Ta 0.2585 0.5000 0.2637
Ta 0.7415 0.5000 0.7363
Ta 0.7585 0.0000 0.2637
Au 0.0000 0.5000 0.5000
Au 0.5000 0.0000 0.5000

2.
A plane-wave DFT calculation with PBE-GGA was carried out for a relaxed structure of ZrTa2Au.

a = 2.9419 Å, b = 4.6187 Å, c = 5.7890 Å
α = 90.00°, β = 103.79°, γ = 90.00°
Fractional positions:
Zr 0.0000 0.0000 0.0000
Ta 0.2278 0.5000 0.7423
Ta 0.4469 0.0000 0.5276
Au 0.6898 0.5000 0.2558

Most stable: 1 (next structure +0.038 eV/atom)